ZnCuN2F, optimized geometry, DFT GGA-PBEsol; E_form (uncorrected) = 1.025 eV/atom; SG = P4/mmm; size of the total moment = 2.41 μB per formula unit
1.0
3.794 0.000 0.000
0.000 3.794 0.000
0.000 0.000 3.968
Zn Cu N F
1 1 2 1
direct
0.000 0.000 0.000
0.500 0.500 0.500
0.000 0.500 0.000
0.500 0.000 0.000
0.000 0.000 0.500